# 1
# TaNbFeAu2

A geometry-optimized TaNbFeAu2 structure (PBE-GGA, Alexandria).

Cell: 5.101 5.101 4.808 Å, 90.00 90.00 90.00°
Space group P4/mmm (No. 123)
Asymmetric unit:
Ta: 0.000 0.000 0.000
Nb: 0.000 0.000 0.500
Fe: 0.500 0.500 0.000
Au: 0.000 0.500 0.500

---

# 2
# TiNbFeAu2

A geometry-optimized TiNbFeAu2 structure (PBE-GGA, Alexandria).

Cell: 5.074 5.074 4.268 Å, 90.00 90.00 90.00°
Space group P4/mmm (No. 123)
Asymmetric unit:
Ti: 0.000 0.000 0.000
Nb: 0.500 0.500 0.500
Fe: 0.500 0.500 0.000
Au: 0.000 0.500 0.500

---

# 3
# NbV2FeAu

A geometry-optimized NbV2FeAu structure (PBE-GGA, Alexandria).

Cell: 4.504 4.504 5.118 Å, 90.00 90.00 90.00°
Space group P4/mmm (No. 123)
Asymmetric unit:
Nb: 0.000 0.000 0.000
V: 0.000 0.500 0.000
Fe: 0.500 0.500 0.500
Au: 0.000 0.000 0.500

---

# 4
# Nd2FeAu

A geometry-optimized Nd2FeAu structure (PBE-GGA, Alexandria).

Cell: 3.603 3.603 7.344 Å, 90.00 90.00 90.00°
Space group P4/mmm (No. 123)
Asymmetric unit:
Nd: 0.000 0.000 0.235
Fe: 0.500 0.500 0.000
Au: 0.500 0.500 0.500

---

# 5
# FeNi2Au

A geometry-optimized FeNi2Au structure (PBE-GGA, Alexandria).

Cell: 2.6776 2.6776 25.5882 Å, 90.00 90.00 120.00°
Space group R3m (No. 160, hexagonal axes)
Asymmetric unit:
Fe: 0.0000 0.0000 0.0000
Ni: 0.0000 0.0000 0.4859
Ni: 0.0000 0.0000 0.7424
Au: 0.0000 0.0000 0.2415

---

# 6
# FeNi2Au

A geometry-optimized FeNi2Au structure (PBE-GGA, Alexandria).

Cell: 4.505 2.701 4.606 Å, 90.00 110.02 90.00°
Space group P2/m (No. 10)
Asymmetric unit:
Fe: 0.000 0.000 0.000
Ni: 0.500 0.000 0.500
Ni: 0.500 0.500 0.000
Au: 0.000 0.500 0.500

---

# 7
# FeNi2Au

A geometry-optimized FeNi2Au structure (PBE-GGA, Alexandria).

Cell: 3.793 3.793 7.221 Å, 90.00 90.00 90.00°
Space group I4/mmm (No. 139)
Asymmetric unit:
Fe: 0.000 0.000 0.000
Ni: 0.000 0.500 0.250
Au: 0.000 0.000 0.500

---

# 8
# FeNi2Au

A geometry-optimized FeNi2Au structure (PBE-GGA, Alexandria).

Cell: 6.652 6.652 5.147 Å, 90.00 90.00 90.00°
Space group I-42d (No. 122)
Asymmetric unit:
Fe: 0.000 0.000 0.000
Ni: 0.219 0.250 0.125
Au: 0.000 0.000 0.500

---

# 9
# FeNi2Au

A geometry-optimized FeNi2Au structure (PBE-GGA, Alexandria).

Cell: 8.509 2.683 4.682 Å, 90.00 100.69 90.00°
Space group C2/m (No. 12)
Asymmetric unit:
Fe: 0.000 0.000 0.000
Ni: 0.243 0.500 0.223
Au: 0.000 0.500 0.500

---

# 10
# FeNi2Au

A geometry-optimized FeNi2Au structure (PBE-GGA, Alexandria).

Cell: 2.796 3.253 5.734 Å, 90.00 90.12 90.00°
Space group P2/m (No. 10)
Asymmetric unit:
Fe: 0.000 0.000 0.000
Ni: 0.500 0.500 0.218
Au: 0.000 0.000 0.500

---

Number 1: energy relative to the elements 1.623 eV per atom. Number 2: energy relative to the elements 1.190 eV per atom. Number 3: energy relative to the elements 1.560 eV per atom. Number 4: energy relative to the elements -0.233 eV per atom. Number 5: energy relative to the elements 0.184 eV per atom. Number 6: energy relative to the elements 0.134 eV per atom. Number 7: energy relative to the elements 0.030 eV per atom. Number 8: energy relative to the elements 0.383 eV per atom. Number 9: energy relative to the elements 0.094 eV per atom. Number 10: energy relative to the elements 0.021 eV per atom.